--- A ---
Below is a relaxed structure of NaBN2F, with properties calculated at the GGA-PBE level.

```
5
Lattice="-1.649 2.620 3.473 -3.860 0.832 -2.460 -1.759 -3.290 1.646" Properties=species:S:1:pos:R:3 pbc="T T T"
N -1.930 0.416 -1.230
N -0.825 1.310 1.737
F -0.879 -1.645 0.823
B -3.634 0.081 1.330
Na 0.000 0.000 0.000
```

The volume comes out at 17.7 Å³/atom. The calculation puts the magnetic moment at 5.00 μB per formula unit. The theoretical density is 1.52 g/cm³.

=====

--- B ---
Below is a relaxed structure of NaBN2F, with properties calculated at the GGA-PBE level.

```
5
Lattice="-2.793 1.265 0.049 -1.130 -2.436 -1.479 -1.135 -2.714 5.337" Properties=species:S:1:pos:R:3 pbc="T T T"
N -0.565 -1.218 -0.740
N -1.396 0.633 0.025
Na -2.529 -1.943 1.954
F -0.568 -1.357 2.669
B 0.000 0.000 0.000
```

The volume comes out at 11.5 Å³/atom. The calculation puts the magnetic moment at 0.40 μB per formula unit. The theoretical density is 2.34 g/cm³.

=====

Energy ordering: B at the bottom, the next structure 2336 meV/atom above.